# 1
First-principles (PBE-GGA) data for an optimized crystal structure of YTiCu2, as listed in Alexandria via LeMat-Bulk. Values from VASP.

Geometry as Quantum ESPRESSO input:
```
&SYSTEM
  ibrav = 0, nat = 4, ntyp = 3
/
ATOMIC_SPECIES
Y 88.91 Y.upf
Ti 47.87 Ti.upf
Cu 63.55 Cu.upf
CELL_PARAMETERS angstrom
0.0000 3.2998 3.2998
3.2998 0.0000 3.2998
3.2998 3.2998 0.0000
ATOMIC_POSITIONS crystal
Y 0.0000 0.0000 0.0000
Ti 0.5000 0.5000 0.5000
Cu 0.2500 0.2500 0.2500
Cu 0.7500 0.7500 0.7500
```

Calculated values
ΔE to the lowest computed polymorph	0.27	eV/f.u.
E_form	-2	kJ/mol of atoms
total magnetic moment	0.35	μB per atom


# 2
First-principles (PBE-GGA) data for an optimized crystal structure of Na2Pd3S4, as listed in Alexandria via LeMat-Bulk. Values from VASP.

Geometry as Quantum ESPRESSO input:
```
&SYSTEM
  ibrav = 0, nat = 9, ntyp = 3
/
ATOMIC_SPECIES
Na 22.99 Na.upf
Pd 106.42 Pd.upf
S 32.06 S.upf
CELL_PARAMETERS angstrom
0.0000 5.4910 5.8178
2.9796 0.0000 5.8178
2.9796 5.4910 0.0000
ATOMIC_POSITIONS crystal
Na 0.1535 0.1535 0.8465
Na 0.8465 0.8465 0.1535
Pd 0.0000 0.0000 0.5000
Pd 0.5000 0.5000 0.0000
Pd 0.5000 0.5000 0.5000
S 0.2057 0.5260 0.4740
S 0.4740 0.7943 0.2057
S 0.5260 0.2057 0.7943
S 0.7943 0.4740 0.5260
```

Calculated values
formation energy (no corrections)	-0.58	eV per atom
total magnetic moment	0.00	μB per atom


# 3
First-principles (PBE-GGA) data for an optimized crystal structure of Cs8PbAu2F, as listed in Alexandria via LeMat-Bulk. Values from VASP.

Geometry as Quantum ESPRESSO input:
```
&SYSTEM
  ibrav = 0, nat = 12, ntyp = 4
/
ATOMIC_SPECIES
Cs 132.91 Cs.upf
Pb 207.20 Pb.upf
Au 196.97 Au.upf
F 19.00 F.upf
CELL_PARAMETERS angstrom
8.4382 0.0000 0.0000
0.1271 8.4986 0.0000
0.0115 0.0017 10.5169
ATOMIC_POSITIONS crystal
Cs 0.2069 0.1563 0.0000
Cs 0.2494 0.2220 0.4995
Cs 0.2904 0.6746 0.7135
Cs 0.2909 0.6754 0.2867
Cs 0.7091 0.3246 0.7133
Cs 0.7096 0.3254 0.2865
Cs 0.7506 0.7780 0.5005
Cs 0.7931 0.8437 0.0000
Pb 0.5000 0.5000 0.0000
Au 0.9997 0.9999 0.2833
Au 0.0003 0.0001 0.7167
F 0.5000 0.5000 0.5000
```

Calculated values
formation energy (no corrections)	-0.53	eV per atom
total magnetic moment	0.00	μB per atom


# 4
First-principles (PBE-GGA) data for an optimized crystal structure of HPb2O, as listed in Alexandria via LeMat-Bulk. Values from VASP.

Geometry as Quantum ESPRESSO input:
```
&SYSTEM
  ibrav = 0, nat = 4, ntyp = 3
/
ATOMIC_SPECIES
H 1.01 H.upf
Pb 207.20 Pb.upf
O 16.00 O.upf
CELL_PARAMETERS angstrom
0.0000 3.2651 3.2651
3.2651 0.0000 3.2651
3.2651 3.2651 0.0000
ATOMIC_POSITIONS crystal
H 0.0000 0.0000 0.0000
Pb 0.2500 0.2500 0.2500
Pb 0.7500 0.7500 0.7500
O 0.5000 0.5000 0.5000
```

Calculated values
ΔE to the lowest computed polymorph	0.94	eV/f.u.
total magnetic moment	0.00	μB per atom


# 5
First-principles (PBE-GGA) data for an optimized crystal structure of CsTi3Br, as listed in Alexandria via LeMat-Bulk. Values from VASP.

Geometry as Quantum ESPRESSO input:
```
&SYSTEM
  ibrav = 0, nat = 5, ntyp = 3
/
ATOMIC_SPECIES
Cs 132.91 Cs.upf
Ti 47.87 Ti.upf
Br 79.90 Br.upf
CELL_PARAMETERS angstrom
4.9689 0.0000 0.0000
0.0000 4.9689 0.0000
0.0000 0.0000 4.9689
ATOMIC_POSITIONS crystal
Cs 0.0000 0.0000 0.0000
Ti 0.0000 0.5000 0.5000
Ti 0.5000 0.0000 0.5000
Ti 0.5000 0.5000 0.0000
Br 0.5000 0.5000 0.5000
```

Calculated values
formation energy (no corrections)	1.07	eV per atom
ΔE to the lowest computed polymorph	0.00	eV/f.u.
total magnetic moment	0.00	μB per atom


# 6
First-principles (PBE-GGA) data for an optimized crystal structure of CsU3Se9, as listed in Alexandria via LeMat-Bulk. Values from VASP.

Geometry as Quantum ESPRESSO input:
```
&SYSTEM
  ibrav = 0, nat = 13, ntyp = 3
/
ATOMIC_SPECIES
Cs 132.91 Cs.upf
U 238.03 U.upf
Se 78.96 Se.upf
CELL_PARAMETERS angstrom
10.2977 0.0000 0.0000
-5.1488 8.9180 0.0000
0.0000 0.0000 5.3739
ATOMIC_POSITIONS crystal
Cs 0.0000 0.0000 0.0000
U 0.0000 0.5000 0.5000
U 0.5000 0.0000 0.5000
U 0.5000 0.5000 0.5000
Se 0.0000 0.5000 0.0000
Se 0.2034 0.4068 0.5000
Se 0.2034 0.7966 0.5000
Se 0.4068 0.2034 0.5000
Se 0.5000 0.0000 0.0000
Se 0.5000 0.5000 0.0000
Se 0.5932 0.7966 0.5000
Se 0.7966 0.2034 0.5000
Se 0.7966 0.5932 0.5000
```

Calculated values
formation energy (no corrections)	-0.89	eV per atom
total magnetic moment	0.09	μB per atom


# 7
First-principles (PBE-GGA) data for an optimized crystal structure of BaNbP2Cl, as listed in Alexandria via LeMat-Bulk. Values from VASP.

Geometry as Quantum ESPRESSO input:
```
&SYSTEM
  ibrav = 0, nat = 5, ntyp = 4
/
ATOMIC_SPECIES
Ba 137.33 Ba.upf
Nb 92.91 Nb.upf
P 30.97 P.upf
Cl 35.45 Cl.upf
CELL_PARAMETERS angstrom
5.5185 0.0000 0.0000
0.0000 5.5185 0.0000
0.0000 0.0000 5.4724
ATOMIC_POSITIONS crystal
Ba 0.0000 0.0000 0.0000
Nb 0.5000 0.5000 0.5000
P 0.0000 0.5000 0.0000
P 0.5000 0.0000 0.0000
Cl 0.0000 0.0000 0.5000
```

Calculated values
formation energy (no corrections)	1.38	eV per atom
ΔE to the lowest computed polymorph	11.28	eV/f.u.
total magnetic moment	0.05	μB per atom


# 8
First-principles (PBE-GGA) data for an optimized crystal structure of LaAgSN2, as listed in Alexandria via LeMat-Bulk. Values from VASP.

Geometry as Quantum ESPRESSO input:
```
&SYSTEM
  ibrav = 0, nat = 5, ntyp = 4
/
ATOMIC_SPECIES
La 138.91 La.upf
Ag 107.87 Ag.upf
S 32.06 S.upf
N 14.01 N.upf
CELL_PARAMETERS angstrom
4.1384 0.0000 0.0000
0.0000 4.1384 0.0000
0.0000 0.0000 8.4022
ATOMIC_POSITIONS crystal
La 0.0000 0.0000 0.0000
Ag 0.0000 0.0000 0.5000
S 0.5000 0.5000 0.5000
N 0.0000 0.5000 0.0000
N 0.5000 0.0000 0.0000
```

Calculated values
formation energy (no corrections)	1.03	eV per atom
ΔE to the lowest computed polymorph	2.65	eV/f.u.
total magnetic moment	0.10	μB per atom


total magnetic moment of number 2 (Na2Pd3S4)? 0.00 μB per atom